# 1
Density functional theory data (PBEsol) for a geometry-optimized InPSeBr2 structure.

abc: 5.2252 5.2252 5.4312
angles: 90.00 90.00 90.00
Element x y z (fractional)
1 In 0.0000 0.0000 0.0000
2 P 0.5000 0.5000 0.5000
3 Se 0.0000 0.0000 0.5000
4 Br 0.0000 0.5000 0.0000
5 Br 0.5000 0.0000 0.0000

## Properties
Space group: No. 123
Energy relative to the elements, uncorrected: 480 meV per atom
Size of the total moment: 1.8 μB per formula unit

---

# 2
Density functional theory data (PBEsol) for a geometry-optimized Ag2C structure.

abc: 2.8237 2.8237 20.7888
angles: 90.00 90.00 90.00
Element x y z (fractional)
1 Ag 0.0000 0.2500 0.3083
2 Ag 0.0000 0.2500 0.4417
3 Ag 0.0000 0.7500 0.5583
4 Ag 0.0000 0.7500 0.6917
5 Ag 0.5000 0.2500 0.0583
6 Ag 0.5000 0.2500 0.1917
7 Ag 0.5000 0.7500 0.8083
8 Ag 0.5000 0.7500 0.9417
9 C 0.0000 0.2500 0.8750
10 C 0.0000 0.7500 0.1250
11 C 0.5000 0.2500 0.6250
12 C 0.5000 0.7500 0.3750

## Properties
Raw total energy: -3.88 eV per atom
Space group: No. 141
Size of the total moment: 0.0 μB per formula unit

---

# 3
Density functional theory data (PBEsol) for a geometry-optimized CrAu3 structure.

abc: 4.7171 5.5996 4.9433
angles: 90.00 90.00 90.00
Element x y z (fractional)
1 Cr 0.2500 0.2500 0.1620
2 Cr 0.7500 0.7500 0.8380
3 Au 0.2500 0.9995 0.6656
4 Au 0.2500 0.5005 0.6656
5 Au 0.2500 0.7500 0.1580
6 Au 0.7500 0.0005 0.3344
7 Au 0.7500 0.2500 0.8420
8 Au 0.7500 0.4995 0.3344

## Properties
Raw total energy: -5.41 eV per atom
Space group: No. 59
Size of the total moment: 3.9 μB per formula unit